Density functional theory data (PBE-GGA) for a geometry-optimized TbCe2Th7 structure.

As for the electronic total energy: -6.814 eV/atom. The value obtained for the density of states at the Fermi level is 17.7 states/eV/cell. As for the space-group type: C2/m (12). Its formation energy is 30.1 meV per atom.

Geometry as POSCAR:
```
TbCe2Th7
1.0
4.724 -1.432 0.693
-2.480 7.070 -4.340
1.026 -0.191 10.531
Tb Ce Th
1 2 7
Direct
0.000 0.000 0.000
0.600 0.799 0.398
0.400 0.201 0.602
0.902 0.701 0.599
0.098 0.299 0.401
0.200 0.599 0.798
0.800 0.401 0.202
0.299 0.901 0.204
0.701 0.099 0.796
0.500 0.500 0.000
```